No. 1
Here is a relaxed structure of AgAuS2Cl from Alexandria via LeMat-Bulk. Energies are from PBE-GGA.

## Properties
D(E_F): 6.3 states/eV per cell
space group: P4/mmm, No. 123
crystal system: tetragonal
size of the total moment: 0.4 μB per cell
E_form (uncorrected): 0.55 eV per atom
offset from the most stable computed form: 0.0 meV per atom

a b c (Å): 4.8585 4.8585 5.0322
angles (deg): 90.00 90.00 90.00
Last column: nearest neighbours and their distance in Å.
Sites, in units of the cell vectors:
Ag 0.0000 0.0000 0.0000  4 Cl 3.44, 8 S 3.50
Au 0.5000 0.5000 0.5000  4 S 2.43, 2 Cl 2.52
S 0.0000 0.5000 0.5000  2 Au 2.43
S 0.5000 0.0000 0.5000  2 Au 2.43
Cl 0.5000 0.5000 0.0000  2 Au 2.52

No. 2
Here is a relaxed structure of Sc3TiTe from Alexandria via LeMat-Bulk. Energies are from PBE-GGA.

## Properties
D(E_F): 5.7 states/eV per cell
space group: Pm-3m, No. 221
crystal system: cubic
size of the total moment: 0.0 μB per cell
E_form (uncorrected): 0.38 eV per atom
offset from the most stable computed form: 0.0 meV per atom

a b c (Å): 5.0517 5.0517 5.0517
angles (deg): 90.00 90.00 90.00
Last column: nearest neighbours and their distance in Å.
Sites, in units of the cell vectors:
Sc 0.0000 0.0000 0.5000  2 Ti 2.53
Sc 0.0000 0.5000 0.0000  2 Ti 2.53
Sc 0.5000 0.0000 0.0000  2 Ti 2.53
Ti 0.0000 0.0000 0.0000  6 Sc 2.53
Te 0.5000 0.5000 0.5000  12 Sc 3.57